# Ir3RhI

Crystalline Ir3RhI at its relaxed geometry (PBE, the Alexandria database).

Cell and atoms, written as POSCAR:
```
Ir3RhI
1.0
-2.416 4.105 -0.399
-1.424 -0.396 4.546
3.871 2.416 1.423
I Ir Rh
1 3 1
direct
0.500 0.500 0.500
0.000 0.500 0.000
0.000 0.000 0.500
0.500 0.000 0.000
0.000 0.000 0.000
```

Computed properties:
As for the crystal system: cubic. For the uncorrected formation energy, the calculation gives 1976 meV per atom. Its space-group type is No. 221. The value obtained for the energy above the most stable polymorph in this dataset is 0.000 eV per atom.